FeBiI2O | GGA+U | optimized geometry

The structure belongs to space group P4/mmm (No. 123); the cell edges are 6.3204, 6.3204 and 4.3379 Å and the angles 90.00°, 90.00° and 90.00°. The inequivalent atoms are Fe at (0.0000, 0.0000, 0.0000), Bi at (0.5000, 0.5000, 0.5000), I at (0.0000, 0.5000, 0.5000) and O at (0.5000, 0.5000, 0.0000).

For the magnetic moment, the calculation gives 4.91 μB/f.u. Its density is 5.1 g/cm³. Its offset from the most stable computed form is 0.2791 eV per atom.